[1]
First-principles (PBE-GGA) data for crystalline HoAsRh2 at its relaxed geometry, as listed in the Alexandria database.

Summary:
ΔE_f, meV/atom: -808
V, Å³ per atom: 18.2

Lattice parameters (Å, degrees): 3.9091 3.9091 9.5291 90.00 90.00 90.00
Last column: nearest neighbours and their distance in Å.
Element x y z (fractional)
Rh: 0.5000 0.0000 0.9117  1 As 2.41
Rh: 0.0000 0.0000 0.5000  4 As 2.47, 4 Rh 2.76
Rh: 0.5000 0.5000 0.5000  4 As 2.47, 4 Rh 2.76
Rh: 0.0000 0.5000 0.0883  1 As 2.41
Ho: 0.5000 0.0000 0.2079  5 Rh 2.82-2.99, 4 As 3.04
Ho: 0.0000 0.5000 0.7921  5 Rh 2.82-2.99, 4 As 3.04
As: 0.0000 0.5000 0.3411  5 Rh 2.41-2.47
As: 0.5000 0.0000 0.6589  5 Rh 2.41-2.47

***

[2]
First-principles (PBE-GGA) data for crystalline HoAs2RuRh5 at its relaxed geometry, as listed in the Alexandria database.

Summary:
ΔE_f, meV/atom: 22
V, Å³ per atom: 20.6

Lattice parameters (Å, degrees): 3.9790 3.9790 11.7309 90.00 90.00 90.00
Last column: nearest neighbours and their distance in Å.
Element x y z (fractional)
Rh: 0.0000 0.0000 0.5000  4 Ho 2.81, 8 Rh 2.89
Rh: 0.5000 0.0000 0.3216  2 As 2.43
Rh: 0.5000 0.0000 0.6784  2 As 2.43
Rh: 0.0000 0.5000 0.6784  2 As 2.43
Rh: 0.0000 0.5000 0.3216  2 As 2.43
Ru: 0.0000 0.0000 0.0000  2 As 2.37
As: 0.0000 0.0000 0.2020  1 Ru 2.37, 4 Rh 2.43
As: 0.0000 0.0000 0.7980  1 Ru 2.37, 4 Rh 2.43
Ho: 0.5000 0.5000 0.5000  12 Rh 2.81-2.89

***

[3]
First-principles (PBE-GGA) data for crystalline Ho3SbAs2Rh9 at its relaxed geometry, as listed in the Alexandria database.

Summary:
V, Å³ per atom: 20.9
Formation energy from raw total energies, kJ per mole of atoms: -44.44

Lattice parameters (Å, degrees): 6.2610 6.2610 9.2341 90.00 90.00 120.00
Last column: nearest neighbours and their distance in Å.
Element x y z (fractional)
Rh: 0.7162 0.8581 0.2705  1 As 2.27
Rh: 0.0000 0.5000 0.0000  2 As 2.40
Rh: 0.1419 0.8581 0.2705  1 As 2.27
Rh: 0.2838 0.1419 0.7295  1 As 2.27
Rh: 0.5000 0.0000 0.0000  2 As 2.40
Rh: 0.8581 0.7162 0.7295  1 As 2.27
Rh: 0.5000 0.5000 0.0000  2 As 2.40
Rh: 0.1419 0.2838 0.2705  1 As 2.27
Rh: 0.8581 0.1419 0.7295  1 As 2.27
Ho: 0.6667 0.3333 0.2525  9 Rh 2.95-3.15
Ho: 0.3333 0.6667 0.7475  9 Rh 2.95-3.15
Ho: 0.0000 0.0000 0.0000  12 Rh 2.93-3.13
Sb: 0.0000 0.0000 0.5000  6 Rh 2.62
As: 0.3333 0.6667 0.1707  6 Rh 2.27-2.40
As: 0.6667 0.3333 0.8293  6 Rh 2.27-2.40

***

[4]
First-principles (PBE-GGA) data for crystalline HoScAs2Rh5 at its relaxed geometry, as listed in the Alexandria database.

Summary:
ΔE_f, meV/atom: -714
V, Å³ per atom: 17.0

Lattice parameters (Å, degrees): 4.1916 4.1916 8.7090 90.00 90.00 90.00
Last column: nearest neighbours and their distance in Å.
Element x y z (fractional)
Rh: 0.5000 0.5000 0.5000  8 Rh 2.93, 4 Ho 2.96, 2 As 3.13
Rh: 0.0000 0.5000 0.7352  2 As 2.36
Rh: 0.5000 0.0000 0.7352  2 As 2.36
Rh: 0.0000 0.5000 0.2648  2 As 2.36
Rh: 0.5000 0.0000 0.2648  2 As 2.36
As: 0.5000 0.5000 0.8589  4 Rh 2.36, 1 As 2.46
As: 0.5000 0.5000 0.1411  4 Rh 2.36, 1 As 2.46
Sc: 0.0000 0.0000 0.0000  8 Rh 3.12, 8 As 3.21
Ho: 0.0000 0.0000 0.5000  12 Rh 2.93-2.96

***

[5]
First-principles (PBE-GGA) data for crystalline Ho6AsRh2Se3 at its relaxed geometry, as listed in the Alexandria database.

Summary:
V, Å³ per atom: 24.1
Formation energy from raw total energies, kJ per mole of atoms: -131.66

Lattice parameters (Å, degrees): 6.9582 6.9582 7.2824 99.25 99.25 120.11
Last column: nearest neighbours and their distance in Å.
Element x y z (fractional)
Ho: 0.4208 0.0753 0.2301  2 Rh 2.77-2.79, 1 As 2.87, 3 Se 2.94-3.01
Ho: 0.2671 0.2671 0.7688  2 Rh 2.78, 1 As 2.88, 3 Se 2.91-2.96
Ho: 0.7329 0.7329 0.2312  2 Rh 2.78, 1 As 2.88, 3 Se 2.91-2.96
Ho: 0.0753 0.4208 0.2301  2 Rh 2.77-2.79, 1 As 2.87, 3 Se 2.94-3.01
Ho: 0.5792 0.9247 0.7699  2 Rh 2.77-2.79, 1 As 2.87, 3 Se 2.94-3.01
Ho: 0.9247 0.5792 0.7699  2 Rh 2.77-2.79, 1 As 2.87, 3 Se 2.94-3.01
Rh: 0.3332 0.6668 0.0000  6 Ho 2.77-2.79
Rh: 0.6668 0.3332 0.0000  6 Ho 2.77-2.79
Se: 0.1623 0.8377 0.5000  6 Ho 2.94-3.01
Se: 0.5000 0.5000 0.5000  6 Ho 2.91-3.01
Se: 0.8377 0.1623 0.5000  6 Ho 2.94-3.01
As: 0.0000 0.0000 0.0000  6 Ho 2.87-2.88

***

[6]
First-principles (PBE-GGA) data for crystalline Ho3SiAs2Rh9 at its relaxed geometry, as listed in the Alexandria database.

Summary:
V, Å³ per atom: 19.4
Formation energy from raw total energies, kJ per mole of atoms: -48.55

Lattice parameters (Å, degrees): 6.3389 6.3389 8.3473 90.00 90.00 120.00
Last column: nearest neighbours and their distance in Å.
Element x y z (fractional)
Rh: 0.7167 0.8583 0.2887  1 As 2.27, 1 Si 2.35
Rh: 0.8583 0.7167 0.7113  1 As 2.27, 1 Si 2.35
Rh: 0.5000 0.0000 0.0000  2 As 2.40
Rh: 0.1417 0.8583 0.2887  1 As 2.27, 1 Si 2.35
Rh: 0.5000 0.5000 0.0000  2 As 2.40
Rh: 0.8583 0.1417 0.7113  1 As 2.27, 1 Si 2.35
Rh: 0.1417 0.2833 0.2887  1 As 2.27, 1 Si 2.35
Rh: 0.0000 0.5000 0.0000  2 As 2.40
Rh: 0.2833 0.1417 0.7113  1 As 2.27, 1 Si 2.35
As: 0.6667 0.3333 0.8146  6 Rh 2.27-2.40
As: 0.3333 0.6667 0.1854  6 Rh 2.27-2.40
Si: 0.0000 0.0000 0.5000  6 Rh 2.35
Ho: 0.3333 0.6667 0.7121  9 Rh 3.02-3.18
Ho: 0.0000 0.0000 0.0000  12 Rh 2.87-3.17
Ho: 0.6667 0.3333 0.2879  9 Rh 3.02-3.18

***

[7]
First-principles (PBE-GGA) data for crystalline HoSn2As2Rh7 at its relaxed geometry, as listed in the Alexandria database.

Summary:
ΔE_f, meV/atom: -340
V, Å³ per atom: 18.3

Lattice parameters (Å, degrees): 3.9124 3.9124 14.4828 84.42 84.42 89.77
Last column: nearest neighbours and their distance in Å.
Element x y z (fractional)
Rh: 0.3641 0.3641 0.4216  1 As 2.46, 1 Sn 2.75
Rh: 0.5539 0.0529 0.8504  2 As 2.43
Rh: 0.4461 0.9471 0.1496  2 As 2.43
Rh: 0.9471 0.4461 0.1496  2 As 2.43
Rh: 0.5000 0.5000 0.0000  4 Ho 2.76-2.77, 8 Rh 2.90-2.91
Rh: 0.0529 0.5539 0.8504  2 As 2.43
Rh: 0.6359 0.6359 0.5784  1 As 2.46, 1 Sn 2.75
As: 0.5887 0.5887 0.7497  5 Rh 2.43-2.46
As: 0.4113 0.4113 0.2503  5 Rh 2.43-2.46
Ho: 0.0000 0.0000 0.0000  12 Rh 2.76-2.90
Sn: 0.1241 0.1241 0.6007  5 Rh 2.75-2.81
Sn: 0.8759 0.8759 0.3993  5 Rh 2.75-2.81

***

[8]
First-principles (PBE-GGA) data for crystalline HoSnAs2Rh5 at its relaxed geometry, as listed in the Alexandria database.

Summary:
ΔE_f, meV/atom: -660
V, Å³ per atom: 16.7

Lattice parameters (Å, degrees): 4.1372 4.1372 8.8059 90.00 90.00 90.00
Last column: nearest neighbours and their distance in Å.
Element x y z (fractional)
Rh: 0.0000 0.5000 0.7221  2 As 2.39
Rh: 0.5000 0.0000 0.2779  2 As 2.39
Rh: 0.0000 0.5000 0.2779  2 As 2.39
Rh: 0.5000 0.0000 0.7221  2 As 2.39
Rh: 0.5000 0.5000 0.5000  8 Rh 2.85, 4 Sn 2.93, 2 As 3.16
As: 0.5000 0.5000 0.8585  4 Rh 2.39, 1 As 2.49
As: 0.5000 0.5000 0.1415  4 Rh 2.39, 1 As 2.49
Ho: 0.0000 0.0000 0.0000  8 As 3.18, 8 Rh 3.20
Sn: 0.0000 0.0000 0.5000  12 Rh 2.85-2.93

***

Question: What is the V in the sixth record?
Answer: 19.4 Å³ per atom

***

Question: What is the formula in the sixth record?
Answer: Ho3SiAs2Rh9

***

Question: What is the V in the second record?
Answer: 20.6 Å³ per atom